[1]
KNaCr2As: relaxed, GGA-PBE.

Calculated values
Space-group type = P4/mmm
Crystal system = tetragonal
Formation energy from the elements = 1.713 eV/atom
Fermi-level density of states = 3.56 states/eV/f.u.
Total energy = -3.5492 eV per atom

Cell: 5.392 5.191 5.392 Å, 90.00 90.00 90.00°
Atoms (fractional coordinates):
As (0.500, 0.500, 0.500)
Cr (0.500, 0.000, 0.000)
Cr (0.000, 0.000, 0.500)
K (0.000, 0.000, 0.000)
Na (0.000, 0.500, 0.000)

---

[2]
MgMnIr: relaxed, GGA-PBE.

Calculated values
Space-group type = Amm2
Crystal system = orthorhombic
Formation energy from the elements = 0.004 eV/atom
Fermi-level density of states = 2.75 states/eV/f.u.
Total energy = -6.5375 eV per atom

Cell: 4.263 7.106 4.260 Å, 53.18 60.08 72.61°
Atoms (fractional coordinates):
Ir (0.311, 0.344, 0.399)
Ir (0.311, 0.872, 0.870)
Mn (0.644, 0.289, 0.788)
Mn (0.644, 0.927, 0.151)
Mg (0.977, 0.108, 0.302)
Mg (0.977, 0.608, 0.802)

---

- Number 2 is which compound?
  MgMnIr

---

- Among the records above, which one has the lowest formation energy from the elements?
  MgMnIr

---

- Which formula does entry 1 have?
  KNaCr2As